A.
NpTaOs2 | GGA-PBE | relaxed

Results
Magnetic moment ... 2.7 μB/f.u.

Structure (CIF):
```
data_NpTaOs2
_space_group_name_H-M_alt 'P 4/m m m'
_space_group_IT_number 123
_space_group_name_Hall '-P 4 2'
_cell_length_a 3.103
_cell_length_b 3.103
_cell_length_c 7.301
_cell_angle_alpha 90.00
_cell_angle_beta 90.00
_cell_angle_gamma 90.00
loop_
_atom_site_label
_atom_site_type_symbol
_atom_site_fract_x
_atom_site_fract_y
_atom_site_fract_z
_atom_site_occupancy
Np1 Np 0.000 0.000 0.000 1
Ta1 Ta 0.000 0.000 0.500 1
Os1 Os 0.500 0.500 0.280 1
```

B.
NpTaOs2 | GGA-PBE | relaxed

Results
Magnetic moment ... 3.2 μB/f.u.

Structure (CIF):
```
data_NpTaOs2
_space_group_name_H-M_alt 'F m -3 m'
_space_group_IT_number 225
_space_group_name_Hall '-F 4 2 3'
_cell_length_a 6.564
_cell_length_b 6.564
_cell_length_c 6.564
_cell_angle_alpha 90.00
_cell_angle_beta 90.00
_cell_angle_gamma 90.00
loop_
_atom_site_label
_atom_site_type_symbol
_atom_site_fract_x
_atom_site_fract_y
_atom_site_fract_z
_atom_site_occupancy
Np1 Np 0.000 0.000 0.000 1
Ta1 Ta 0.000 0.000 0.500 1
Os1 Os 0.250 0.250 0.250 1
```

Order from most stable to least stable according to the calculation: A, B

A.
NpTa2Os | GGA-PBE | relaxed

Results
Magnetic moment ... 2.8 μB/f.u.

Structure (CIF):
```
data_NpTa2Os
_space_group_name_H-M_alt 'P 4/m m m'
_space_group_IT_number 123
_space_group_name_Hall '-P 4 2'
_cell_length_a 3.076
_cell_length_b 3.076
_cell_length_c 7.816
_cell_angle_alpha 90.00
_cell_angle_beta 90.00
_cell_angle_gamma 90.00
loop_
_atom_site_label
_atom_site_type_symbol
_atom_site_fract_x
_atom_site_fract_y
_atom_site_fract_z
_atom_site_occupancy
Np1 Np 0.000 0.000 0.000 1
Ta1 Ta 0.500 0.500 0.285 1
Os1 Os 0.000 0.000 0.500 1
```

B.
NpTa2Os | GGA-PBE | relaxed

Results
Magnetic moment ... 3.0 μB/f.u.

Structure (CIF):
```
data_NpTa2Os
_space_group_name_H-M_alt 'P 4/m m m'
_space_group_IT_number 123
_space_group_name_Hall '-P 4 2'
_cell_length_a 4.802
_cell_length_b 4.802
_cell_length_c 3.073
_cell_angle_alpha 90.00
_cell_angle_beta 90.00
_cell_angle_gamma 90.00
loop_
_atom_site_label
_atom_site_type_symbol
_atom_site_fract_x
_atom_site_fract_y
_atom_site_fract_z
_atom_site_occupancy
Np1 Np 0.000 0.000 0.000 1
Ta1 Ta 0.000 0.500 0.500 1
Os1 Os 0.500 0.500 0.000 1
```

Order from most stable to least stable according to the calculation: A, B

A.
TmNpOs2 | GGA-PBE | relaxed

Results
Magnetic moment ... 2.7 μB/f.u.

Structure (CIF):
```
data_TmNpOs2
_space_group_name_H-M_alt 'F m -3 m'
_space_group_IT_number 225
_space_group_name_Hall '-F 4 2 3'
_cell_length_a 6.743
_cell_length_b 6.743
_cell_length_c 6.743
_cell_angle_alpha 90.00
_cell_angle_beta 90.00
_cell_angle_gamma 90.00
loop_
_atom_site_label
_atom_site_type_symbol
_atom_site_fract_x
_atom_site_fract_y
_atom_site_fract_z
_atom_site_occupancy
Tm1 Tm 0.000 0.000 0.000 1
Np1 Np 0.000 0.000 0.500 1
Os1 Os 0.250 0.250 0.250 1
```

B.
TmNpOs2 | GGA-PBE | relaxed

Results
Magnetic moment ... 2.6 μB/f.u.

Structure (CIF):
```
data_TmNpOs2
_space_group_name_H-M_alt 'P 4/m m m'
_space_group_IT_number 123
_space_group_name_Hall '-P 4 2'
_cell_length_a 3.366
_cell_length_b 3.366
_cell_length_c 6.790
_cell_angle_alpha 90.00
_cell_angle_beta 90.00
_cell_angle_gamma 90.00
loop_
_atom_site_label
_atom_site_type_symbol
_atom_site_fract_x
_atom_site_fract_y
_atom_site_fract_z
_atom_site_occupancy
Tm1 Tm 0.000 0.000 0.000 1
Np1 Np 0.000 0.000 0.500 1
Os1 Os 0.500 0.500 0.266 1
```

Order from most stable to least stable according to the calculation: B, A

A.
NpUOs2 | GGA-PBE | relaxed

Results
Magnetic moment ... 4.6 μB/f.u.

Structure (CIF):
```
data_NpUOs2
_space_group_name_H-M_alt 'F m -3 m'
_space_group_IT_number 225
_space_group_name_Hall '-F 4 2 3'
_cell_length_a 6.767
_cell_length_b 6.767
_cell_length_c 6.767
_cell_angle_alpha 90.00
_cell_angle_beta 90.00
_cell_angle_gamma 90.00
loop_
_atom_site_label
_atom_site_type_symbol
_atom_site_fract_x
_atom_site_fract_y
_atom_site_fract_z
_atom_site_occupancy
Np1 Np 0.000 0.000 0.000 1
U1 U 0.000 0.000 0.500 1
Os1 Os 0.250 0.250 0.250 1
```

B.
NpUOs2 | GGA-PBE | relaxed

Results
Magnetic moment ... 4.7 μB/f.u.

Structure (CIF):
```
data_NpUOs2
_space_group_name_H-M_alt 'P 4/m m m'
_space_group_IT_number 123
_space_group_name_Hall '-P 4 2'
_cell_length_a 3.156
_cell_length_b 3.156
_cell_length_c 7.622
_cell_angle_alpha 90.00
_cell_angle_beta 90.00
_cell_angle_gamma 90.00
loop_
_atom_site_label
_atom_site_type_symbol
_atom_site_fract_x
_atom_site_fract_y
_atom_site_fract_z
_atom_site_occupancy
Np1 Np 0.000 0.000 0.000 1
U1 U 0.000 0.000 0.500 1
Os1 Os 0.500 0.500 0.249 1
```

Order from most stable to least stable according to the calculation: B, A

A.
NpUOs | GGA-PBE | relaxed

Results
Magnetic moment ... 0.0 μB/f.u.

Structure (CIF):
```
data_NpUOs
_space_group_name_H-M_alt 'C 1 2/m 1'
_space_group_IT_number 12
_cell_length_a 8.454
_cell_length_b 4.384
_cell_length_c 5.868
_cell_angle_alpha 90.00
_cell_angle_beta 92.61
_cell_angle_gamma 90.00
loop_
_space_group_symop_operation_xyz
'x,y,z'
'-x,-y,-z'
'-x,y,-z'
'x,-y,z'
'x+1/2,y+1/2,z'
'-x+1/2,-y+1/2,-z'
'-x+1/2,y+1/2,-z'
'x+1/2,-y+1/2,z'
loop_
_atom_site_label
_atom_site_type_symbol
_atom_site_fract_x
_atom_site_fract_y
_atom_site_fract_z
_atom_site_occupancy
Np1 Np 0.177 0.000 0.464 1
U1 U 0.159 0.000 0.910 1
Os1 Os 0.006 0.500 0.254 1
```

B.
NpUOs | GGA-PBE | relaxed

Results
Magnetic moment ... 0.0 μB/f.u.

Structure (CIF):
```
data_NpUOs
_space_group_name_H-M_alt 'P 3 m 1'
_space_group_IT_number 156
_cell_length_a 3.3295
_cell_length_b 3.3295
_cell_length_c 5.8779
_cell_angle_alpha 90.00
_cell_angle_beta 90.00
_cell_angle_gamma 120.00
loop_
_space_group_symop_operation_xyz
'x,y,z'
'-y,x-y,z'
'-x+y,-x,z'
'-y,-x,z'
'-x+y,y,z'
'x,x-y,z'
loop_
_atom_site_label
_atom_site_type_symbol
_atom_site_fract_x
_atom_site_fract_y
_atom_site_fract_z
_atom_site_occupancy
Np1 Np 0.0000 0.0000 0.0000 1
U1 U 0.6667 0.3333 0.2923 1
Os1 Os 0.3333 0.6667 0.6579 1
```

Order from most stable to least stable according to the calculation: A, B

A.
NpUOs | GGA-PBE | relaxed

Results
Magnetic moment ... 0.0 μB/f.u.

Structure (CIF):
```
data_NpUOs
_space_group_name_H-M_alt 'I 4 m m'
_space_group_IT_number 107
_space_group_name_Hall 'I 4 -2'
_cell_length_a 3.305
_cell_length_b 3.305
_cell_length_c 9.844
_cell_angle_alpha 90.00
_cell_angle_beta 90.00
_cell_angle_gamma 90.00
loop_
_atom_site_label
_atom_site_type_symbol
_atom_site_fract_x
_atom_site_fract_y
_atom_site_fract_z
_atom_site_occupancy
Np1 Np 0.000 0.000 0.000 1
U1 U 0.000 0.000 0.628 1
Os1 Os 0.000 0.000 0.316 1
```

B.
NpUOs | GGA-PBE | relaxed

Results
Magnetic moment ... 2.2 μB/f.u.

Structure (CIF):
```
data_NpUOs
_space_group_name_H-M_alt 'P 4/n m m'
_space_group_IT_number 129
_cell_length_a 4.416
_cell_length_b 4.416
_cell_length_c 6.235
_cell_angle_alpha 90.00
_cell_angle_beta 90.00
_cell_angle_gamma 90.00
loop_
_space_group_symop_operation_xyz
'x,y,z'
'-x,-y,-z'
'-y+1/2,x,z'
'y+1/2,-x,-z'
'-x+1/2,-y+1/2,z'
'x+1/2,y+1/2,-z'
'y,-x+1/2,z'
'-y,x+1/2,-z'
'x+1/2,-y,-z'
'-x+1/2,y,z'
'-y,-x,-z'
'y,x,z'
'-x,y+1/2,-z'
'x,-y+1/2,z'
'y+1/2,x+1/2,-z'
'-y+1/2,-x+1/2,z'
loop_
_atom_site_label
_atom_site_type_symbol
_atom_site_fract_x
_atom_site_fract_y
_atom_site_fract_z
_atom_site_occupancy
Np1 Np 0.250 0.250 0.244 1
U1 U 0.250 0.750 0.000 1
Os1 Os 0.250 0.750 0.500 1
```

Order from most stable to least stable according to the calculation: A, B